A geometry-optimized ZrAlAg structure, computed with PBE.

Results
Space-group type ... No. 194
Final energy ... -31.0 eV per cell
Formation energy ... -0.123 eV per atom
Mass density ... 6.53 g/cm³

a b c (Å): 4.832 4.832 5.687
angles (deg): 90.00 90.00 120.00
Atoms (fractional coordinates):
1 Zr 0.333 0.667 0.250
2 Zr 0.667 0.333 0.750
3 Al 0.333 0.667 0.750
4 Al 0.667 0.333 0.250
5 Ag 0.000 0.000 0.000
6 Ag 0.000 0.000 0.500

A geometry-optimized LiEu2Si structure, computed with PBE.

Results
Space-group type ... No. 166
Energy relative to the elements, uncorrected ... 0.040 eV/atom
Final energy ... -27.7 eV per cell
Mass density ... 4.22 g/cm³

a b c (Å): 11.159 11.159 11.159
angles (deg): 19.34 19.34 19.34
Atoms (fractional coordinates):
1 Li 0.000 0.000 0.000
2 Eu 0.104 0.104 0.104
3 Eu 0.896 0.896 0.896
4 Si 0.500 0.500 0.500